Material: Sm4TlSnN
Method: DFT, PBE
State: relaxed

Values from the calculation:
Volume in Å³ per cell: 384.2
Space group: Cmcm
E in Ry/atom: -0.411
Fermi-level density of states in states/eV/cell: 4.70

Cell and atoms, written as POSCAR:
```
Sm4TlSnN
1.0
6.851 0.000 0.000
0.000 6.852 0.000
-3.425 0.000 8.184
Sm Tl Sn N
8 2 2 2
Cartesian
3.425 1.713 6.745
0.000 5.139 6.765
0.000 5.139 1.439
3.425 1.713 1.420
1.713 3.426 4.092
-1.713 0.000 4.092
1.713 0.000 4.092
-1.713 3.426 4.092
3.425 5.139 1.799
0.000 1.713 6.385
0.000 1.713 1.790
3.425 5.139 6.395
0.000 5.139 4.093
3.425 1.713 4.091
```

Material: ZnAs2Ru
Method: DFT, PBE
State: relaxed

Values from the calculation:
Volume in Å³ per cell: 66.6
Space group: P2/m
E in Ry/atom: -0.364
Fermi-level density of states in states/eV/cell: 1.81
ΔH_f (0 K) in kJ/mol of atoms: 0

Cell and atoms, written as POSCAR:
```
ZnAs2Ru
1.0
2.998 0.000 0.000
0.000 3.016 0.075
0.000 2.889 7.434
As Ru Zn
2 1 1
Cartesian
0.000 3.028 0.336
0.000 2.941 3.494
1.499 1.476 1.877
1.499 4.429 5.632
```

Material: NaLi2Ag
Method: DFT, PBE
State: relaxed

Values from the calculation:
Volume in Å³ per cell: 84.8
Distance to the lowest polymorph of the same formula in meV per atom: 13
Space group: P4/mmm
E in Ry/atom: -0.154
Fermi-level density of states in states/eV/cell: 1.60
ΔH_f (0 K) in kJ/mol of atoms: -9

Cell and atoms, written as POSCAR:
```
NaLi2Ag
1.0
-2.530 -0.100 -2.158
2.157 -0.295 -2.516
-0.267 -7.629 0.666
Na Ag Li
1 1 2
Cartesian
-0.320 -4.012 -2.004
-0.187 -0.197 -2.337
-0.217 -6.198 0.541
-0.050 -1.432 0.125
```

Material: U2Al3Fe
Method: DFT, PBE
State: relaxed

Values from the calculation:
Volume in Å³ per cell: 105.1
Space group: R-3m
E in Ry/atom: -0.529
Fermi-level density of states in states/eV/cell: 7.52
ΔH_f (0 K) in kJ/mol of atoms: -14

Cell and atoms, written as POSCAR:
```
U2Al3Fe
1.0
-3.958 3.371 -1.625
-5.205 -1.515 -0.533
-3.987 1.749 3.273
U Al Fe
2 3 1
Cartesian
-1.822 0.499 0.155
-11.328 3.106 0.961
-3.973 2.560 0.824
-4.596 0.117 1.370
-4.581 0.928 -1.079
-6.575 1.803 0.558
```

Material: Ba2SiOsO6
Method: DFT, PBE
State: relaxed

Values from the calculation:
Volume in Å³ per cell: 122.9
Space group: Fm-3m
E in Ry/atom: -0.518
Fermi-level density of states in states/eV/cell: 3.50

Cell and atoms, written as POSCAR:
```
Ba2SiOsO6
1.0
-4.855 2.424 1.305
-2.320 -2.177 -4.586
-4.635 -3.080 0.411
Ba Si Os O
2 1 1 6
Cartesian
-6.539 -0.266 0.038
-5.271 -2.567 -2.907
-3.587 0.124 -1.640
0.000 0.000 0.000
-4.081 -1.385 -0.674
-5.275 0.182 -2.412
-2.991 -0.958 -3.026
-4.183 1.206 -0.255
-6.534 -3.015 -0.457
-7.729 -1.448 -2.195
```

Material: SmHo2Mg
Method: DFT, PBE
State: relaxed

Values from the calculation:
Volume in Å³ per cell: 239.0
Distance to the lowest polymorph of the same formula in meV per atom: 0
Space group: I4/mmm
E in Ry/atom: -0.286
Fermi-level density of states in states/eV/cell: 8.42
ΔH_f (0 K) in kJ/mol of atoms: -3

Cell and atoms, written as POSCAR:
```
SmHo2Mg
1.0
-3.775 0.926 3.271
-1.226 -4.930 -0.021
8.276 0.532 5.462
Sm Ho Mg
2 4 2
Cartesian
0.132 -1.353 2.508
3.143 -2.120 6.204
-2.400 -3.347 4.094
5.675 -0.126 4.618
2.250 0.729 4.367
3.525 -2.199 2.720
-1.864 -3.465 0.802
-3.137 -0.539 2.447
```

Material: RbTlPd2
Method: DFT, PBE
State: relaxed

Values from the calculation:
Volume in Å³ per cell: 120.5
Distance to the lowest polymorph of the same formula in meV per atom: 0
Space group: R-3m
E in Ry/atom: -0.264
Fermi-level density of states in states/eV/cell: 2.23
ΔH_f (0 K) in kJ/mol of atoms: -16

Cell and atoms, written as POSCAR:
```
RbTlPd2
1.0
4.776 0.000 0.000
2.388 4.136 0.000
2.388 1.379 6.101
Tl Rb Pd
1 1 2
Cartesian
4.776 2.757 3.051
0.000 0.000 0.000
2.388 1.379 2.790
7.164 4.136 3.311
```

Material: AsHAuO2
Method: DFT, PBE
State: relaxed

Values from the calculation:
Volume in Å³ per cell: 83.6
Space group: P4/mmm
E in Ry/atom: -0.237
Fermi-level density of states in states/eV/cell: 4.04

Cell and atoms, written as POSCAR:
```
AsHAuO2
1.0
-2.693 -0.720 -2.735
2.789 -1.306 -2.402
-0.662 -5.064 1.985
H As Au O
1 1 1 2
Cartesian
-0.283 -3.545 -1.576
-0.331 -2.532 0.992
0.000 0.000 0.000
1.394 -0.653 -1.201
-1.347 -0.360 -1.367
```

> volume of number 3 (NaLi2Ag)?

84.8 Å³ per cell